## i
DFT (PBE) results for a relaxed Nd2Sm2C2Br2Cl3 crystal.

```
11
Lattice="9.446 -1.936 0.000 9.446 1.936 0.000 -1.850 0.000 7.760" Properties=species:S:1:pos:R:3 pbc="T T T"
Br 2.400 0.000 2.885
Br 14.643 0.000 4.875
C 10.126 0.000 0.180
C 6.917 0.000 7.580
Cl 15.355 0.000 1.194
Cl 8.521 0.000 3.880
Cl 1.688 0.000 6.566
Nd 18.475 0.000 1.624
Nd -1.432 0.000 6.136
Sm 12.267 0.000 0.755
Sm 4.776 0.000 7.005
```

=====

## ii
DFT (PBE) results for a relaxed Nd2Sm2C2Br2Cl3 crystal.

```
11
Lattice="-9.418 0.782 -2.705 -9.766 -0.817 0.765 1.709 6.947 3.372" Properties=species:S:1:pos:R:3 pbc="T T T"
Br -15.694 1.222 -1.010
Br -1.780 5.690 2.443
C -10.279 0.145 -0.964
C -7.196 6.767 2.396
Cl -2.360 2.547 0.937
Cl -8.737 3.456 0.716
Cl -15.115 4.365 0.496
Nd -12.450 0.731 -0.912
Nd -5.024 6.181 2.344
Sm 0.327 1.456 0.704
Sm -17.801 5.456 0.729
```

=====

The structure with the greatest stability is i.

=====

## i
DFT (PBE) results for a relaxed Nd2Y2CBr3Cl2 crystal.

```
10
Lattice="-8.833 -0.406 2.467 -7.973 -4.105 1.962 4.048 -0.020 7.039" Properties=species:S:1:pos:R:3 pbc="T T T"
Br -13.262 -3.763 4.992
Br -6.379 -2.265 5.735
Br 0.504 -0.767 6.478
C -8.403 -2.255 2.215
Cl -1.230 -0.713 3.131
Cl -11.529 -3.817 8.338
Nd -10.491 -2.909 3.451
Nd -2.267 -1.621 8.018
Y 0.814 -0.006 1.432
Y -13.572 -4.524 10.037
```

=====

## ii
DFT (PBE) results for a relaxed Nd2Y2CBr3Cl2 crystal.

```
10
Lattice="8.785 -1.918 0.000 8.785 1.918 0.000 -1.985 0.000 7.907" Properties=species:S:1:pos:R:3 pbc="T T T"
Br 2.176 0.000 2.850
Br 7.793 0.000 3.954
Br 13.409 0.000 5.057
C 8.785 0.000 0.000
Cl 14.321 0.000 1.349
Cl 1.264 0.000 6.558
Nd 11.216 0.000 0.630
Nd 4.369 0.000 7.277
Y 17.144 0.000 1.594
Y -1.558 0.000 6.313
```

=====

The structure with the greatest stability is i.

=====

## i
DFT (PBE) results for a relaxed Nd2Y2CBr4Cl crystal.

```
10
Lattice="-1.242 -9.134 -0.539 0.131 -8.313 -4.017 7.391 0.707 3.084" Properties=species:S:1:pos:R:3 pbc="T T T"
Br 0.474 -14.414 -3.214
Br 2.509 -2.555 0.387
Br 3.771 -14.185 -1.859
Br 5.806 -2.326 1.742
C -0.555 -8.724 -2.278
Cl 3.140 -8.370 -0.736
Nd -0.131 -11.172 -2.688
Nd 6.411 -5.568 1.216
Y 0.423 -17.296 -3.914
Y 5.857 0.556 2.443
```

=====

## ii
DFT (PBE) results for a relaxed Nd2Y2CBr4Cl crystal.

```
10
Lattice="-4.529 -3.888 7.064 -0.829 -4.196 8.199 0.030 7.900 2.047" Properties=species:S:1:pos:R:3 pbc="T T T"
Br -4.423 -5.396 12.945
Br -0.887 1.317 3.249
Br -4.441 -1.501 14.061
Br -0.906 5.212 4.365
C -2.679 -4.042 7.632
Cl -2.664 -0.092 8.655
Nd -5.344 -6.386 15.679
Nd 0.016 6.203 1.631
Y -3.411 -4.572 9.874
Y -1.917 4.389 7.436
```

=====

The structure with the greatest stability is ii.

=====

## i
DFT (PBE) results for a relaxed Pr2Sc2CBr3Cl2 crystal.

```
10
Lattice="-3.253 -7.121 -4.197 0.133 -8.300 -3.162 -2.522 -0.682 7.469" Properties=species:S:1:pos:R:3 pbc="T T T"
Br -1.445 -2.704 1.646
Br -2.821 -8.052 0.055
Br -4.197 -13.400 -1.536
C -1.560 -7.711 -3.680
Cl -3.080 -13.098 -4.844
Cl -2.562 -3.006 4.954
Pr -2.245 -10.073 -4.130
Pr -3.397 -6.031 4.240
Sc -3.601 -15.541 -5.924
Sc -2.041 -0.563 6.033
```

=====

## ii
DFT (PBE) results for a relaxed Pr2Sc2CBr3Cl2 crystal.

```
10
Lattice="8.861 -1.886 0.000 8.861 1.886 0.000 -1.934 0.000 8.415" Properties=species:S:1:pos:R:3 pbc="T T T"
Br 2.479 0.000 2.501
Br 7.894 0.000 4.207
Br 13.309 0.000 5.913
C 8.861 0.000 0.000
Cl 14.518 0.000 0.989
Cl 1.271 0.000 7.425
Pr 17.304 0.000 1.733
Pr -1.516 0.000 6.681
Sc 11.049 0.000 0.521
Sc 4.739 0.000 7.894
```

=====

The structure with the greatest stability is ii.

=====

## i
DFT (PBE) results for a relaxed Pr2Sm2CBr2Cl3 crystal.

```
10
Lattice="8.902 -1.936 0.000 8.902 1.936 0.000 -1.877 0.000 7.847" Properties=species:S:1:pos:R:3 pbc="T T T"
Br 2.246 0.000 2.860
Br 13.681 0.000 4.987
C 8.902 0.000 0.000
Cl 14.494 0.000 1.345
Cl 7.963 0.000 3.924
Cl 1.433 0.000 6.503
Pr 11.364 0.000 0.629
Pr 4.563 0.000 7.218
Sm 17.362 0.000 1.660
Sm -1.436 0.000 6.187
```

=====

## ii
DFT (PBE) results for a relaxed Pr2Sm2CBr2Cl3 crystal.

```
10
Lattice="0.586 -2.154 -9.040 -1.236 -5.241 -7.597 -6.779 4.289 0.612" Properties=species:S:1:pos:R:3 pbc="T T T"
Br -1.791 -5.367 -13.740
Br -5.638 2.261 -2.284
C -0.325 -3.697 -8.318
Cl -2.491 0.341 -2.416
Cl -3.714 -1.553 -8.012
Cl -4.938 -3.447 -13.608
Pr -1.007 -4.391 -10.664
Pr -6.421 1.285 -5.360
Sm -1.448 0.912 0.122
Sm -5.981 -4.018 -16.147
```

=====

The structure with the greatest stability is ii.

=====

## i
DFT (PBE) results for a relaxed Pr2Y2CBr4Cl crystal.

```
10
Lattice="-3.403 8.153 2.796 -4.845 5.752 5.414 7.203 -0.384 3.616" Properties=species:S:1:pos:R:3 pbc="T T T"
Br -5.499 11.536 7.551
Br 1.318 2.087 2.640
Br -2.363 11.435 9.186
Br 4.454 1.986 4.276
C -4.124 6.953 4.105
Cl -0.522 6.761 5.913
Pr -4.739 8.932 5.582
Pr 3.694 4.590 6.245
Y -6.753 13.821 8.957
Y 5.708 -0.300 2.870
```

=====

## ii
DFT (PBE) results for a relaxed Pr2Y2CBr4Cl crystal.

```
10
Lattice="-7.945 -3.952 2.693 -5.880 -7.023 1.449 4.382 0.125 6.967" Properties=species:S:1:pos:R:3 pbc="T T T"
Br -10.717 -9.040 4.526
Br -0.862 -1.807 3.030
Br -8.581 -9.043 8.079
Br 1.273 -1.810 6.583
C -6.913 -5.487 2.071
Cl -4.722 -5.425 5.554
Pr -12.867 -10.932 5.628
Pr 3.423 0.082 5.481
Y -8.487 -6.981 3.145
Y -0.956 -3.869 7.964
```

=====

The structure with the greatest stability is ii.

=====

## i
DFT (PBE) results for a relaxed Sm2Sc2CBr3Cl2 crystal.

```
10
Lattice="8.509 -1.870 0.000 8.509 1.870 0.000 -1.914 0.000 8.153" Properties=species:S:1:pos:R:3 pbc="T T T"
Br 2.370 0.000 2.536
Br 7.552 0.000 4.077
Br 12.734 0.000 5.618
C 8.509 0.000 0.000
Cl 13.845 0.000 1.020
Cl 1.259 0.000 7.133
Sc 10.689 0.000 0.546
Sc 4.415 0.000 7.607
Sm 16.593 0.000 1.662
Sm -1.490 0.000 6.491
```

=====

## ii
DFT (PBE) results for a relaxed Sm2Sc2CBr3Cl2 crystal.

```
10
Lattice="-6.658 5.174 -2.924 -8.292 1.855 -2.730 -0.324 0.614 7.765" Properties=species:S:1:pos:R:3 pbc="T T T"
Br -12.567 5.996 -3.252
Br -7.638 3.822 1.055
Br -2.708 1.647 5.363
C -7.475 3.515 -2.827
Cl -2.410 1.296 1.866
Cl -12.865 6.348 0.245
Sc -0.079 0.127 1.498
Sc -15.196 7.517 0.612
Sm -9.658 4.581 -2.974
Sm -5.617 3.062 5.085
```

=====

The structure with the greatest stability is i.

=====

## i
DFT (PBE) results for a relaxed Sm2Sc2CBr4Cl crystal.

```
10
Lattice="-7.522 2.507 4.233 -5.420 1.312 7.049 4.198 6.563 -0.349" Properties=species:S:1:pos:R:3 pbc="T T T"
Br -10.018 4.463 9.373
Br -0.502 3.006 1.650
Br -8.242 7.376 9.282
Br 1.275 5.919 1.560
C -6.471 1.910 5.641
Cl -4.372 5.191 5.466
Sc 0.821 1.286 -0.067
Sc -9.564 9.096 10.999
Sm -7.980 2.978 7.221
Sm -0.764 7.404 3.712
```

=====

## ii
DFT (PBE) results for a relaxed Sm2Sc2CBr4Cl crystal.

```
10
Lattice="8.988 -1.872 0.000 8.988 1.872 0.000 -1.757 0.000 7.840" Properties=species:S:1:pos:R:3 pbc="T T T"
Br 14.669 0.000 1.174
Br 2.434 0.000 2.499
Br 13.784 0.000 5.341
Br 1.549 0.000 6.666
C 8.988 0.000 0.000
Cl 8.109 0.000 3.920
Sc 11.176 0.000 0.518
Sc 5.042 0.000 7.321
Sm 17.588 0.000 1.669
Sm -1.370 0.000 6.170
```

=====

The structure with the greatest stability is ii.

=====

## i
DFT (PBE) results for a relaxed Sm2Sc2CBr2Cl3 crystal.

```
10
Lattice="8.708 -1.830 0.000 8.708 1.830 0.000 -1.891 0.000 7.398" Properties=species:S:1:pos:R:3 pbc="T T T"
Br 14.192 0.000 1.448
Br 1.332 0.000 5.950
C 8.708 0.000 0.000
Cl 1.974 0.000 2.642
Cl 7.762 0.000 3.699
Cl 13.551 0.000 4.755
Sc -0.369 0.000 1.481
Sc 15.893 0.000 5.916
Sm 11.053 0.000 0.635
Sm 4.471 0.000 6.762
```

=====

## ii
DFT (PBE) results for a relaxed Sm2Sc2CBr2Cl3 crystal.

```
10
Lattice="8.563 -1.837 0.000 8.563 1.837 0.000 -1.836 0.000 7.441" Properties=species:S:1:pos:R:3 pbc="T T T"
Br 2.056 0.000 2.762
Br 13.234 0.000 4.680
C 8.563 0.000 0.000
Cl 14.008 0.000 1.359
Cl 7.645 0.000 3.721
Cl 1.281 0.000 6.082
Sc 16.742 0.000 1.477
Sc -1.452 0.000 5.964
Sm 10.918 0.000 0.593
Sm 4.372 0.000 6.848
```

=====

The structure with the greatest stability is i.

=====

## i
DFT (PBE) results for a relaxed Nd2Dy2CI3Br2 crystal.

```
10
Lattice="9.460 -1.998 0.000 9.460 1.998 0.000 -1.881 0.000 8.598" Properties=species:S:1:pos:R:3 pbc="T T T"
Br 2.466 0.000 2.644
Br 14.572 0.000 5.953
C 9.460 0.000 0.000
Dy 11.804 0.000 0.570
Dy 5.234 0.000 8.028
I 15.333 0.000 1.441
I 8.519 0.000 4.299
I 1.706 0.000 7.157
Nd 18.540 0.000 1.683
Nd -1.502 0.000 6.914
```

=====

## ii
DFT (PBE) results for a relaxed Nd2Dy2CI3Br2 crystal.

```
10
Lattice="-5.923 5.331 -5.057 -8.014 4.665 -1.757 4.731 5.855 4.180" Properties=species:S:1:pos:R:3 pbc="T T T"
Br -10.816 9.411 -4.955
Br 1.611 6.439 2.320
C -6.968 4.998 -3.407
Dy -13.028 11.092 -6.017
Dy 3.822 4.758 3.383
I -0.641 3.738 0.348
I -4.603 7.925 -1.317
I -8.565 12.113 -2.983
Nd -8.601 6.779 -4.082
Nd -0.604 9.072 1.448
```

=====

The structure with the greatest stability is i.

=====

## i
DFT (PBE) results for a relaxed Nd2Dy2CI4Br crystal.

```
10
Lattice="9.581 -1.980 0.000 9.581 1.980 0.000 -1.862 0.000 8.330" Properties=species:S:1:pos:R:3 pbc="T T T"
Br 9.581 0.000 0.000
C 8.650 0.000 4.165
Dy -0.557 0.000 2.547
Dy 17.857 0.000 5.783
I 15.826 0.000 1.188
I 2.601 0.000 2.519
I 14.699 0.000 5.810
I 1.474 0.000 7.142
Nd 6.196 0.000 3.605
Nd 11.104 0.000 4.725
```

=====

## ii
DFT (PBE) results for a relaxed Nd2Dy2CI4Br crystal.

```
10
Lattice="9.761 -2.002 0.000 9.761 2.002 0.000 -1.764 0.000 8.315" Properties=species:S:1:pos:R:3 pbc="T T T"
Br 8.879 0.000 4.157
C 9.761 0.000 0.000
Dy 12.109 0.000 0.520
Dy 5.648 0.000 7.795
I 15.914 0.000 1.455
I 2.619 0.000 2.819
I 15.138 0.000 5.496
I 1.843 0.000 6.860
Nd 19.141 0.000 1.704
Nd -1.384 0.000 6.611
```

=====

The structure with the greatest stability is ii.